# 1
RbBeNb (PBE, relaxed); SG = Cm (8); crystal system = monoclinic; electronic total energy = -4.5408 eV per atom
1.0
25.625 0.000 -0.501
12.517 1.938 -1.999
-12.517 1.938 1.999
Be Nb Rb
2 2 2
Direct
0.461 0.931 0.069 Be
0.965 0.376 0.624 Be
0.465 0.363 0.637 Nb
0.960 0.945 0.055 Nb
0.956 0.250 0.750 Rb
0.439 0.087 0.913 Rb

***

# 2
RbBeNb (PBE, relaxed); SG = P6_3/mmc (194); crystal system = hexagonal; electronic total energy = -3.5192 eV per atom
1.0
3.498 -2.019 0.000
0.000 4.039 0.000
0.000 0.000 12.511
Be Rb Nb
2 2 2
Direct
0.667 0.333 0.750 Be
0.333 0.667 0.250 Be
0.000 0.000 0.500 Rb
0.000 0.000 0.000 Rb
0.667 0.333 0.250 Nb
0.333 0.667 0.750 Nb

***

# 3
RbBeNb (PBE, relaxed); SG = P1 (1); crystal system = triclinic; electronic total energy = -4.5373 eV per atom
1.0
12.569 1.366 -2.884
-1.014 3.730 -0.003
1.148 0.315 3.308
Be Rb Nb
2 2 2
Direct
0.458 0.389 0.887 Be
0.563 0.442 0.343 Be
0.830 0.583 0.973 Rb
0.191 0.256 0.221 Rb
0.589 0.956 0.828 Nb
0.432 0.876 0.403 Nb

***

# 4
RbBeNb3 (PBE, relaxed); SG = Pm-3m (221); crystal system = cubic; electronic total energy = -4.0273 eV per atom
1.0
-3.744 -2.469 -1.581
-1.195 -1.057 4.480
-2.677 3.925 0.212
Nb Be Rb
3 1 1
Direct
0.500 0.000 0.000 Nb
0.000 0.000 0.500 Nb
0.000 0.500 0.000 Nb
0.500 0.500 0.500 Be
0.000 0.000 0.000 Rb

***

# 5
RbBeNb3 (PBE, relaxed); SG = Pm-3m (221); crystal system = cubic; electronic total energy = -5.5111 eV per atom
1.0
4.733 0.000 0.000
0.000 4.733 0.000
0.000 0.000 4.733
Nb Rb Be
3 1 1
Direct
0.000 0.000 0.500 Nb
0.000 0.500 0.000 Nb
0.500 0.000 0.000 Nb
0.500 0.500 0.500 Rb
0.000 0.000 0.000 Be

***

# 6
Rb3BeNb (PBE, relaxed); SG = Pm-3m (221); crystal system = cubic; electronic total energy = -1.7770 eV per atom
1.0
-2.720 -5.886 -0.700
-0.623 -0.481 6.474
-5.895 2.767 -0.362
Rb Be Nb
3 1 1
Direct
0.500 0.000 0.000 Rb
0.000 0.000 0.500 Rb
0.000 0.500 0.000 Rb
0.000 0.000 0.000 Be
0.500 0.500 0.500 Nb

***

# 7
RbBeNb (PBE, relaxed); SG = P1 (1); crystal system = triclinic; electronic total energy = -4.3411 eV per atom
1.0
-1.325 -9.775 -7.714
3.142 -1.324 0.680
-3.361 -2.180 2.366
Rb Be Nb
2 2 2
Direct
0.437 0.946 0.631 Rb
0.064 0.115 0.323 Rb
0.641 0.571 0.996 Be
0.689 0.164 0.209 Be
0.832 0.504 0.973 Nb
0.733 0.851 0.610 Nb

***

# 8
RbBeNb (PBE, relaxed); SG = P6_3/mmc (194); crystal system = hexagonal; electronic total energy = -2.7951 eV per atom
1.0
0.531 5.692 -1.276
-4.513 -1.868 3.233
5.342 1.348 8.236
Nb Rb Be
2 2 2
Direct
0.000 0.000 0.000 Nb
0.000 0.000 0.500 Nb
0.667 0.333 0.750 Rb
0.333 0.667 0.250 Rb
0.000 0.000 0.750 Be
0.000 0.000 0.250 Be

***

# 9
RbBeNb (PBE, relaxed); SG = P-6m2 (187); crystal system = hexagonal; electronic total energy = -3.4684 eV per atom
1.0
-3.376 -3.539 1.304
4.526 -1.365 -1.808
2.966 -0.073 7.479
Nb Be Rb
2 2 2
Direct
0.000 0.000 0.641 Nb
0.000 0.000 0.359 Nb
0.333 0.667 0.643 Be
0.333 0.667 0.357 Be
0.667 0.333 0.500 Rb
0.667 0.333 0.000 Rb

***

# 10
RbBeNb (PBE, relaxed); SG = P1 (1); crystal system = triclinic; electronic total energy = -4.4051 eV per atom
1.0
12.555 0.018 -0.011
0.606 3.875 0.000
-0.029 0.005 3.923
Rb Nb Be
2 2 2
Direct
0.822 0.600 0.533 Rb
0.173 0.916 0.016 Rb
0.455 0.277 0.025 Nb
0.454 0.778 0.525 Nb
0.579 0.215 0.528 Be
0.579 0.715 0.028 Be

***

# 11
RbBeNb (PBE, relaxed); SG = P1 (1); crystal system = triclinic; electronic total energy = -4.3614 eV per atom
1.0
3.806 -0.003 -0.018
-1.600 12.190 0.120
1.914 -0.513 4.063
Be Rb Nb
2 2 2
Direct
0.188 0.475 0.338 Be
0.037 0.317 0.507 Be
0.346 0.090 0.695 Rb
0.880 0.702 0.148 Rb
0.488 0.450 0.719 Nb
0.738 0.342 0.126 Nb

***

# 12
RbBeNb (PBE, relaxed); SG = P-6m2 (187); crystal system = hexagonal; electronic total energy = -3.5206 eV per atom
1.0
-3.309 0.944 -2.113
-0.309 -2.258 3.334
-0.718 5.171 3.436
Rb Be Nb
1 1 1
Direct
0.667 0.333 0.500 Rb
0.000 0.000 0.000 Be
0.333 0.667 0.000 Nb

***

| no. | DFT formation energy (eV/atom) | polymorph energy (0 for the lowest one) (meV per atom) |
| --- | --- | --- |
| 1 | 0.380 | 0 |
| 2 | 1.402 | 1022 |
| 3 | 0.384 | 3 |
| 4 | 2.953 | 1484 |
| 5 | 1.470 | 0 |
| 6 | 1.563 | 0 |
| 7 | 0.580 | 200 |
| 8 | 2.126 | 1746 |
| 9 | 1.453 | 1072 |
| 10 | 0.516 | 136 |
| 11 | 0.560 | 179 |
| 12 | 1.401 | 1020 |